[1]
This record from the Alexandria database describes an optimized crystal structure of NaZnB2. The functional is PBE.

Lattice parameters (Å, degrees): 3.6821 3.6821 8.0055 76.70 76.70 90.00
With the nearest neighbours (Å) after each atom.
Atoms (fractional coordinates):
Na: 0.5000 0.5000 0.0000  4 Zn 2.60, 8 B 2.80
Na: 0.2500 0.7500 0.5000  4 Zn 2.60, 8 B 2.80
Zn: 0.0000 0.0000 0.0000  4 B 2.10
Zn: 0.7500 0.2500 0.5000  4 B 2.10
B: 0.8749 0.1250 0.2500  2 B 1.84
B: 0.8751 0.6250 0.2500  2 B 1.84
B: 0.3750 0.1251 0.7500  2 B 1.84
B: 0.8750 0.1249 0.7500  2 B 1.84

Values from the calculation:
**SG**: I4_1/amd

***

[2]
This record from the Alexandria database describes an optimized crystal structure of Na2ZnB. The functional is PBE.

Lattice parameters (Å, degrees): 10.7057 10.7057 7.8187 46.79 46.79 90.00
With the nearest neighbours (Å) after each atom.
Atoms (fractional coordinates):
Na: 0.3759 0.1250 0.2500  2 B 2.72
Na: 0.3741 0.6250 0.2500  2 B 2.72
Na: 0.3750 0.6241 0.7500  2 B 2.72
Na: 0.8750 0.6259 0.7500  2 B 2.72
Zn: 0.0000 0.0000 0.0000  2 B 1.96
Zn: 0.7500 0.2500 0.5000  2 B 1.96
B: 0.5000 0.5000 0.0000  2 Zn 1.96
B: 0.2500 0.7500 0.5000  2 Zn 1.96

Values from the calculation:
**E above lowest polymorph**: 0 meV/atom
**SG**: I-42d

***

[3]
This record from the Alexandria database describes an optimized crystal structure of NaZrB. The functional is PBE.

Lattice parameters (Å, degrees): 6.1465 4.4188 4.5865 90.00 95.55 90.00
With the nearest neighbours (Å) after each atom.
Atoms (fractional coordinates):
Na: 0.5714 0.2500 0.2660  1 B 2.65
Na: 0.4286 0.7500 0.7340  1 B 2.65
B: 0.1441 0.2500 0.3008  4 Zr 2.36-2.55
B: 0.8559 0.7500 0.6992  4 Zr 2.36-2.55
Zr: 0.0007 0.2500 0.7601  4 B 2.36-2.55
Zr: 0.9993 0.7500 0.2399  4 B 2.36-2.55

Values from the calculation:
**E above lowest polymorph**: 539 meV/atom
**SG**: P2_1/m

***

[4]
This record from the Alexandria database describes an optimized crystal structure of NaZrB. The functional is PBE.

Lattice parameters (Å, degrees): 5.4238 4.7985 4.7950 106.95 90.50 90.51
With the nearest neighbours (Å) after each atom.
Atoms (fractional coordinates):
Na: 0.4975 0.7369 0.2363  2 Na 2.70-3.01, 2 B 2.74-2.77
Na: 0.5025 0.2631 0.7637  2 Na 2.70-3.01, 2 B 2.74-2.77
B: 0.9988 0.6483 0.1486  1 B 1.70
B: 0.0012 0.3517 0.8514  1 B 1.70
Zr: 0.9994 0.7956 0.7045  4 B 2.43-2.55
Zr: 0.0006 0.2044 0.2955  4 B 2.43-2.55

Values from the calculation:
**E above lowest polymorph**: 510 meV/atom
**SG**: C2/m

***

[5]
This record from the Alexandria database describes an optimized crystal structure of NaZrB. The functional is PBE.

Lattice parameters (Å, degrees): 13.6890 5.8054 3.3455 90.00 90.00 90.00
With the nearest neighbours (Å) after each atom.
Atoms (fractional coordinates):
Na: 0.6692 0.2500 0.4990  2 B 2.73
Na: 0.8308 0.7500 0.9990  2 B 2.73
Na: 0.3308 0.7500 0.5010  2 B 2.73
Na: 0.1692 0.2500 0.0010  2 B 2.73
B: 0.0000 0.0000 0.0000  4 Zr 2.38
B: 0.5000 0.5000 0.5000  4 Zr 2.38
B: 0.5000 0.0000 0.5000  4 Zr 2.38
B: 0.0000 0.5000 0.0000  4 Zr 2.38
Zr: 0.4373 0.2500 0.0000  4 B 2.38
Zr: 0.0627 0.7500 0.5000  4 B 2.38
Zr: 0.5627 0.7500 0.0000  4 B 2.38
Zr: 0.9373 0.2500 0.5000  4 B 2.38

Values from the calculation:
**E above lowest polymorph**: 578 meV/atom
**SG**: Pnma

***

[6]
This record from the Alexandria database describes an optimized crystal structure of NaZrB. The functional is PBE.

Lattice parameters (Å, degrees): 3.7980 3.7980 10.0067 90.00 90.00 120.00
With the nearest neighbours (Å) after each atom.
Atoms (fractional coordinates):
Na: 0.6667 0.3333 0.0000  6 B 2.39
Na: 0.6667 0.3333 0.5000  6 Zr 3.70, 6 Na 3.80
B: 0.3333 0.6667 0.0939  1 B 1.88
B: 0.3333 0.6667 0.9061  1 B 1.88
Zr: 0.0000 0.0000 0.2025  3 B 2.45
Zr: 0.0000 0.0000 0.7975  3 B 2.45

Values from the calculation:
**E above lowest polymorph**: 922 meV/atom
**SG**: P-6m2

***

[7]
This record from the Alexandria database describes an optimized crystal structure of NaZrB. The functional is PBE.

Lattice parameters (Å, degrees): 3.3684 3.3691 10.9667 90.00 90.22 90.00
With the nearest neighbours (Å) after each atom.
Atoms (fractional coordinates):
Na: 0.5000 0.5000 0.0000  2 B 2.89
Na: 0.5000 0.5000 0.5000  2 B 2.60
B: 0.5050 0.5000 0.2632  4 Zr 2.40, 1 Na 2.60
B: 0.4950 0.5000 0.7368  4 Zr 2.40, 1 Na 2.60
Zr: 0.9956 0.0000 0.7639  4 B 2.40
Zr: 0.0044 0.0000 0.2361  4 B 2.40

Values from the calculation:
**E above lowest polymorph**: 590 meV/atom
**SG**: P2/m

***

[8]
This record from the Alexandria database describes an optimized crystal structure of Na2Zr4B. The functional is PBE.

Lattice parameters (Å, degrees): 4.7325 4.7325 8.6213 74.07 74.07 90.00
With the nearest neighbours (Å) after each atom.
Atoms (fractional coordinates):
Na: 0.6555 0.6555 0.6890  9 Zr 3.27-3.42
Na: 0.3445 0.3445 0.3110  9 Zr 3.27-3.42
B: 0.0000 0.0000 0.0000  6 Zr 2.21-2.37
Zr: 0.8610 0.8610 0.2779  1 B 2.21
Zr: 0.1390 0.1390 0.7221  1 B 2.21
Zr: 0.0000 0.5000 0.0000  2 B 2.37
Zr: 0.5000 0.0000 0.0000  2 B 2.37

Values from the calculation:
**SG**: I4/mmm

***

[9]
This record from the Alexandria database describes an optimized crystal structure of NaZrB. The functional is PBE.

Lattice parameters (Å, degrees): 3.4328 5.1499 7.2022 90.00 90.02 90.00
With the nearest neighbours (Å) after each atom.
Atoms (fractional coordinates):
Na: 0.6711 0.5000 0.7471  2 B 2.63
Na: 0.6758 0.0000 0.4640  2 B 3.17, 4 Na 3.28-3.43, 4 Zr 3.38
B: 0.6750 0.6756 0.0905  1 B 1.81
B: 0.6750 0.3244 0.0905  1 B 1.81
Zr: 0.1748 0.0000 0.0085  4 B 2.47
Zr: 0.1750 0.5000 0.2742  4 B 2.35

Values from the calculation:
**E above lowest polymorph**: 516 meV/atom
**SG**: Pm

***

[10]
This record from the Alexandria database describes an optimized crystal structure of NaZrB. The functional is PBE.

Lattice parameters (Å, degrees): 18.0493 6.5488 6.5488 128.26 151.69 28.31
With the nearest neighbours (Å) after each atom.
Atoms (fractional coordinates):
Na: 0.7271 0.8070 0.6885  1 B 2.68, 2 Na 2.83-2.88
Na: 0.7271 0.3115 0.1930  1 B 2.68, 2 Na 2.83-2.88
B: 0.7298 0.9834 0.3163  1 B 1.71
B: 0.7298 0.6837 0.0166  1 B 1.71
Zr: 0.3194 0.9138 0.0862  4 B 2.40-2.55
Zr: 0.1384 0.6866 0.3134  4 B 2.40-2.55

Values from the calculation:
**E above lowest polymorph**: 511 meV/atom
**SG**: Cm

***

[11]
This record from the Alexandria database describes an optimized crystal structure of NaZrB12. The functional is PBE.

Lattice parameters (Å, degrees): 4.0909 4.0909 8.2306 90.00 90.00 90.00
With the nearest neighbours (Å) after each atom.
Atoms (fractional coordinates):
Na: 0.0000 0.0000 0.5000  24 B 3.01-3.04
Zr: 0.0000 0.0000 0.0000  24 B 2.99-3.00
B: 0.1996 0.5000 0.2456  5 B 1.63-1.76
B: 0.1996 0.5000 0.7544  5 B 1.63-1.76
B: 0.5000 0.5000 0.3979  5 B 1.68-1.76
B: 0.5000 0.5000 0.9024  5 B 1.61-1.73
B: 0.5000 0.1996 0.2456  5 B 1.63-1.76
B: 0.5000 0.1996 0.7544  5 B 1.63-1.76
B: 0.5000 0.5000 0.0976  5 B 1.61-1.73
B: 0.5000 0.5000 0.6021  5 B 1.68-1.76
B: 0.5000 0.8004 0.2456  5 B 1.63-1.76
B: 0.5000 0.8004 0.7544  5 B 1.63-1.76
B: 0.8004 0.5000 0.2456  5 B 1.63-1.76
B: 0.8004 0.5000 0.7544  5 B 1.63-1.76

Values from the calculation:
**SG**: P4/mmm

***

[12]
This record from the Alexandria database describes an optimized crystal structure of NaZr2B2. The functional is PBE.

Lattice parameters (Å, degrees): 4.3519 4.3519 6.0315 68.85 68.85 90.00
With the nearest neighbours (Å) after each atom.
Atoms (fractional coordinates):
Na: 0.0000 0.0000 0.0000  8 B 3.39, 10 Zr 3.40-3.56
B: 0.7500 0.2500 0.5000  4 Zr 2.32
B: 0.2500 0.7500 0.5000  4 Zr 2.32
Zr: 0.3272 0.3272 0.3455  4 B 2.32
Zr: 0.6728 0.6728 0.6545  4 B 2.32

Values from the calculation:
**E above lowest polymorph**: 0 meV/atom
**SG**: I4/mmm

***

| no. | spin magnetization (μB per formula unit) | formation energy from the elements (eV per atom) |
| --- | --- | --- |
| 1 | 0.000 | 0.720 |
| 2 | 0.000 | 0.430 |
| 3 | 0.000 | 0.240 |
| 4 | 0.000 | 0.211 |
| 5 | 0.000 | 0.279 |
| 6 | 0.392 | 0.622 |
| 7 | 0.000 | 0.291 |
| 8 | 0.000 | 0.490 |
| 9 | 0.000 | 0.217 |
| 10 | 0.000 | 0.212 |
| 11 | 0.000 | -0.110 |
| 12 | 0.976 | 0.250 |